# CoTeBr2 PBE-GGA optimized geometry
data_CoTeBr2
_symmetry_space_group_name_H-M 'F m -3 m'
_symmetry_Int_Tables_number 225
_symmetry_space_group_name_Hall '-F 4 2 3'
_cell_length_a 7.2336
_cell_length_b 7.2336
_cell_length_c 7.2336
_cell_angle_alpha 90.00
_cell_angle_beta 90.00
_cell_angle_gamma 90.00
loop_
_atom_site_label
_atom_site_fract_x
_atom_site_fract_y
_atom_site_fract_z
Co1 0.0000 0.0000 0.0000
Te1 0.0000 0.0000 0.5000
Br1 0.2500 0.2500 0.2500
# Volume in Å³/atom: 23.66
# Raw total energy in eV/f.u.: -10.3
# Energy relative to the elements, uncorrected in eV/atom: 0.832